PBE YCu4Ir, optimized geometry; size of the total moment = 0.00 μB/f.u.; formation enthalpy at 0 K = -0.214 eV/atom; theoretical density = 10.2 g cm⁻³; total DFT energy (no corrections) = -33.0 eV/cell
1.0
0.0000 3.5188 3.5188
3.5188 0.0000 3.5188
3.5188 3.5188 0.0000
Y Cu Ir
1 4 1
Direct
0.0000 0.0000 0.0000 Y
0.3761 0.3761 0.3761 Cu
0.3761 0.3761 0.8717 Cu
0.3761 0.8717 0.3761 Cu
0.8717 0.3761 0.3761 Cu
0.7500 0.7500 0.7500 Ir